A plane-wave DFT calculation with PBE-GGA was carried out for crystalline Nb2CoTcH at its relaxed geometry.

## Properties
* symmetry: P4/mmm (123)
* crystal system: tetragonal
* electronic total energy: -8.21 eV per atom
* theoretical density: 8.9 Mg/m³
* Fermi-level density of states: 6.0 states/eV/f.u.

abc: 4.2018 4.2018 3.6527
angles: 90.00 90.00 90.00
Sites, in units of the cell vectors:
Nb: 0.0000 0.5000 0.0000
Nb: 0.5000 0.0000 0.0000
Co: 0.0000 0.0000 0.5000
Tc: 0.5000 0.5000 0.5000
H: 0.5000 0.5000 0.0000